Record 1
First-principles (PBE) data for an optimized crystal structure of CaCdHgCl6, as listed in Alexandria via LeMat-Bulk.

Results
Fermi-level density of states = 0.000 states/eV per atom
space-group type = P-31c (163)
ΔE_f (raw) = -1318.4 meV/atom
crystal system = trigonal

Unit cell a=6.762 b=6.762 c=12.259 alpha=90.00 beta=90.00 gamma=120.00
Fractional coordinates of all 18 atoms:
Ca1 0.000 0.000 0.000
Ca2 0.000 0.000 0.500
Cd1 0.333 0.667 0.250
Cd2 0.667 0.333 0.750
Hg1 0.333 0.667 0.750
Hg2 0.667 0.333 0.250
Cl1 0.005 0.346 0.127
Cl2 0.005 0.660 0.373
Cl3 0.340 0.346 0.373
Cl4 0.340 0.995 0.127
Cl5 0.346 0.005 0.627
Cl6 0.346 0.340 0.873
Cl7 0.654 0.660 0.127
Cl8 0.654 0.995 0.373
Cl9 0.660 0.005 0.873
Cl10 0.660 0.654 0.627
Cl11 0.995 0.340 0.627
Cl12 0.995 0.654 0.873

Record 2
First-principles (PBE) data for an optimized crystal structure of NdZrZn, as listed in Alexandria via LeMat-Bulk.

Results
Fermi-level density of states = 0.697 states/eV per atom
calculated formation energy = -98 meV/atom
space-group type = I4mm (107)
relative energy among the computed polymorphs = 0.0 meV per atom
crystal system = tetragonal

Unit cell a=6.553 b=6.553 c=6.553 alpha=149.46 beta=149.46 gamma=43.73
Fractional coordinates of all 3 atoms:
Nd1 0.000 0.000 0.000
Zr1 0.306 0.306 0.000
Zn1 0.679 0.679 0.000

Record 3
First-principles (PBE) data for an optimized crystal structure of Mg2Be2Se, as listed in Alexandria via LeMat-Bulk.

Results
Fermi-level density of states = 0.400 states/eV per atom
space-group type = I4/mmm (139)
ΔE_f (raw) = 59.3 meV/atom
relative energy among the computed polymorphs = 0.0 meV per atom
crystal system = tetragonal

Unit cell a=8.015 b=8.015 c=8.015 alpha=156.21 beta=156.21 gamma=33.89
Fractional coordinates of all 5 atoms:
Mg1 0.104 0.104 0.000
Mg2 0.896 0.896 0.000
Be1 0.250 0.750 0.500
Be2 0.750 0.250 0.500
Se1 0.500 0.500 0.000

Record 4
First-principles (PBE) data for an optimized crystal structure of BeIr, as listed in Alexandria via LeMat-Bulk.

Results
Fermi-level density of states = 0.522 states/eV per atom
calculated formation energy = -344 meV/atom
space-group type = R-3m (166)
crystal system = trigonal

Unit cell a=3.959 b=3.959 c=3.959 alpha=40.41 beta=40.41 gamma=40.41
Fractional coordinates of all 2 atoms:
Be1 0.000 0.000 0.000
Ir1 0.500 0.500 0.500

Record 5
First-principles (PBE) data for an optimized crystal structure of Ce4SiGeS2, as listed in Alexandria via LeMat-Bulk.

Results
Fermi-level density of states = 1.952 states/eV per atom
space-group type = P2/m (10)
ΔE_f (raw) = -1326.3 meV/atom
crystal system = monoclinic

Unit cell a=7.109 b=4.141 c=7.173 alpha=90.00 beta=109.65 gamma=90.00
Fractional coordinates of all 8 atoms:
Ce1 0.242 0.000 0.246
Ce2 0.244 0.500 0.750
Ce3 0.756 0.500 0.250
Ce4 0.758 0.000 0.754
Si1 0.500 0.000 0.000
Ge1 0.500 0.500 0.500
S1 0.000 0.000 0.500
S2 0.000 0.500 0.000

Record 6
First-principles (PBE) data for an optimized crystal structure of TbNd4Sm7, as listed in Alexandria via LeMat-Bulk.

Results
Fermi-level density of states = 1.391 states/eV per atom
calculated formation energy = 14 meV/atom
space-group type = P-1 (2)
relative energy among the computed polymorphs = 0.0 meV per atom
crystal system = triclinic

Unit cell a=6.350 b=7.325 c=9.090 alpha=89.94 beta=76.38 gamma=89.93
Fractional coordinates of all 12 atoms:
Tb1 0.000 0.000 0.000
Nd1 0.221 0.500 0.332
Nd2 0.280 0.248 0.669
Nd3 0.720 0.752 0.331
Nd4 0.779 0.500 0.668
Sm1 0.000 0.500 0.000
Sm2 0.219 0.000 0.331
Sm3 0.280 0.752 0.670
Sm4 0.500 0.249 0.000
Sm5 0.500 0.751 0.000
Sm6 0.720 0.248 0.330
Sm7 0.781 0.000 0.669

Record 7
First-principles (PBE) data for an optimized crystal structure of ZnCdHg, as listed in Alexandria via LeMat-Bulk.

Results
Fermi-level density of states = 0.245 states/eV per atom
calculated formation energy = 70 meV/atom
space-group type = P1 (1)
relative energy among the computed polymorphs = 0.0 meV per atom
crystal system = triclinic

Unit cell a=6.274 b=6.852 c=7.541 alpha=100.05 beta=114.36 gamma=109.84
Fractional coordinates of all 12 atoms:
Zn1 0.000 0.000 0.000
Zn2 0.070 0.131 0.390
Zn3 0.186 0.715 0.922
Zn4 0.924 0.437 0.487
Cd1 0.198 0.305 0.816
Cd2 0.639 0.171 0.053
Cd3 0.639 0.390 0.715
Cd4 0.866 0.823 0.576
Hg1 0.272 0.479 0.239
Hg2 0.438 0.792 0.678
Hg3 0.463 0.009 0.343
Hg4 0.796 0.667 0.154

Record 8
First-principles (PBE) data for an optimized crystal structure of Bi2TeO, as listed in Alexandria via LeMat-Bulk.

Results
Fermi-level density of states = 0.362 states/eV per atom
space-group type = Ama2 (40)
ΔE_f (raw) = -446.4 meV/atom
relative energy among the computed polymorphs = 0.0 meV per atom
crystal system = orthorhombic

Unit cell a=5.726 b=6.892 c=6.892 alpha=132.58 beta=90.00 gamma=90.00
Fractional coordinates of all 8 atoms:
Bi1 0.250 0.097 0.903
Bi2 0.250 0.390 0.585
Bi3 0.750 0.585 0.390
Bi4 0.750 0.903 0.097
Te1 0.250 0.743 0.242
Te2 0.750 0.242 0.743
O1 0.000 0.743 0.743
O2 0.500 0.743 0.743

Record 9
First-principles (PBE) data for an optimized crystal structure of TlCo2AgBi, as listed in Alexandria via LeMat-Bulk.

Results
Fermi-level density of states = 0.432 states/eV per atom
calculated formation energy = 1232 meV/atom
space-group type = P4/mmm (123)
crystal system = tetragonal

Unit cell a=4.883 b=4.883 c=6.019 alpha=90.00 beta=90.00 gamma=90.00
Fractional coordinates of all 5 atoms:
Tl1 0.000 0.000 0.000
Co1 0.000 0.500 0.500
Co2 0.500 0.000 0.500
Ag1 0.500 0.500 0.000
Bi1 0.000 0.000 0.500

Record 10
First-principles (PBE) data for an optimized crystal structure of CaCe2Tl2, as listed in Alexandria via LeMat-Bulk.

Results
Fermi-level density of states = 1.664 states/eV per atom
calculated formation energy = -286 meV/atom
space-group type = C2/m (12)
crystal system = monoclinic

Unit cell a=9.587 b=9.587 c=3.793 alpha=98.05 beta=98.05 gamma=24.06
Fractional coordinates of all 5 atoms:
Ca1 0.000 0.000 0.000
Ce1 0.212 0.212 0.134
Ce2 0.788 0.788 0.866
Tl1 0.393 0.393 0.434
Tl2 0.607 0.607 0.566

Record 11
First-principles (PBE) data for an optimized crystal structure of PtC2, as listed in Alexandria via LeMat-Bulk.

Results
Fermi-level density of states = 0.472 states/eV per atom
calculated formation energy = 1893 meV/atom
space-group type = P4_2/mnm (136)
relative energy among the computed polymorphs = 1571.7 meV per atom
crystal system = tetragonal

Unit cell a=4.749 b=4.749 c=3.234 alpha=90.00 beta=90.00 gamma=90.00
Fractional coordinates of all 6 atoms:
Pt1 0.000 0.000 0.000
Pt2 0.500 0.500 0.500
C1 0.195 0.195 0.500
C2 0.305 0.695 0.000
C3 0.695 0.305 0.000
C4 0.805 0.805 0.500

Record 12
First-principles (PBE) data for an optimized crystal structure of HfTi3Ru, as listed in Alexandria via LeMat-Bulk.

Results
Fermi-level density of states = 1.162 states/eV per atom
calculated formation energy = -103 meV/atom
space-group type = Cmcm (63)
relative energy among the computed polymorphs = 0.0 meV per atom
crystal system = orthorhombic

Unit cell a=6.608 b=6.608 c=5.334 alpha=90.00 beta=90.00 gamma=128.87
Fractional coordinates of all 10 atoms:
Hf1 0.088 0.912 0.750
Hf2 0.912 0.088 0.250
Ti1 0.110 0.393 0.750
Ti2 0.325 0.675 0.250
Ti3 0.393 0.110 0.250
Ti4 0.607 0.890 0.750
Ti5 0.675 0.325 0.750
Ti6 0.890 0.607 0.250
Ru1 0.500 0.500 0.000
Ru2 0.500 0.500 0.500